1.
# Ca2TbCdS4 PBE optimized geometry
# **DOS(E_F)**: 3.1 states/eV/f.u.
# **Total DFT energy (no corrections)**: -4.916 eV per atom
data_Ca2TbCdS4
_symmetry_space_group_name_H-M 'P 1 2/m 1'
_symmetry_Int_Tables_number 10
_symmetry_space_group_name_Hall '-P 2y'
_cell_length_a 6.822
_cell_length_b 3.975
_cell_length_c 7.093
_cell_angle_alpha 90.00
_cell_angle_beta 109.87
_cell_angle_gamma 90.00
loop_
_atom_site_label
_atom_site_fract_x
_atom_site_fract_y
_atom_site_fract_z
Ca1 0.000 0.000 0.000
Ca2 0.000 0.500 0.500
Tb1 0.500 0.000 0.500
Cd1 0.500 0.500 0.000
S1 0.254 0.500 0.256
S2 0.260 0.000 0.747

***

2.
# Ca2TmCdS4 PBE optimized geometry
# **DOS(E_F)**: 3.0 states/eV/f.u.
# **Total DFT energy (no corrections)**: -4.886 eV per atom
data_Ca2TmCdS4
_symmetry_space_group_name_H-M 'P 1 2/m 1'
_symmetry_Int_Tables_number 10
_symmetry_space_group_name_Hall '-P 2y'
_cell_length_a 6.769
_cell_length_b 3.951
_cell_length_c 7.068
_cell_angle_alpha 90.00
_cell_angle_beta 109.89
_cell_angle_gamma 90.00
loop_
_atom_site_label
_atom_site_fract_x
_atom_site_fract_y
_atom_site_fract_z
Ca1 0.000 0.000 0.000
Ca2 0.000 0.500 0.500
Tm1 0.500 0.000 0.500
Cd1 0.500 0.500 0.000
S1 0.259 0.500 0.261
S2 0.263 0.000 0.744

***

3.
# CaZnCd2S PBE optimized geometry
# **DOS(E_F)**: 2.9 states/eV/f.u.
# **Total DFT energy (no corrections)**: -1.728 eV per atom
data_CaZnCd2S
_symmetry_space_group_name_H-M 'P 4/m m m'
_symmetry_Int_Tables_number 123
_symmetry_space_group_name_Hall '-P 4 2'
_cell_length_a 5.404
_cell_length_b 5.404
_cell_length_c 4.750
_cell_angle_alpha 90.00
_cell_angle_beta 90.00
_cell_angle_gamma 90.00
loop_
_atom_site_label
_atom_site_fract_x
_atom_site_fract_y
_atom_site_fract_z
Ca1 0.000 0.000 0.000
Zn1 0.500 0.500 0.000
Cd1 0.000 0.500 0.500
S1 0.500 0.500 0.500

***

4.
# CaCd2Sb PBE optimized geometry
# **DOS(E_F)**: 1.9 states/eV/f.u.
# **Total DFT energy (no corrections)**: -2.293 eV per atom
data_CaCd2Sb
_symmetry_space_group_name_H-M 'I m m 2'
_symmetry_Int_Tables_number 44
_symmetry_space_group_name_Hall 'I 2 -2'
_cell_length_a 4.639
_cell_length_b 4.651
_cell_length_c 9.726
_cell_angle_alpha 90.00
_cell_angle_beta 90.00
_cell_angle_gamma 90.00
loop_
_atom_site_label
_atom_site_fract_x
_atom_site_fract_y
_atom_site_fract_z
Ca1 0.000 0.000 0.000
Cd1 0.000 0.000 0.500
Cd2 0.000 0.500 0.750
Sb1 0.000 0.500 0.250